DFT (PBE-GGA) results for a geometry-optimized Rb2CeDy3O8 structure.

a b c (Å): 7.967 7.967 7.967
angles (deg): 52.14 52.14 52.14
Fractional coordinates of all 14 atoms:
Rb1 0.000 0.000 0.000
Rb2 0.349 0.349 0.349
Ce1 0.519 0.519 0.519
Dy1 0.000 0.000 0.504
Dy2 0.000 0.504 0.000
Dy3 0.504 0.000 0.000
O1 0.215 0.732 0.732
O2 0.218 0.218 0.218
O3 0.296 0.296 0.773
O4 0.296 0.773 0.296
O5 0.732 0.215 0.732
O6 0.732 0.732 0.215
O7 0.773 0.296 0.296
O8 0.784 0.784 0.784

Calculated values
Energy in eV/atom: -7.2128
Density in Mg/m³: 5.28
Raw formation energy in meV/atom: -2831
Magnetization in μB per cell: 1.159
Space-group type: R3m (160)
Crystal system: trigonal

DFT (PBE-GGA) results for a geometry-optimized YTmZrSc structure.

a b c (Å): 4.755 4.755 9.518
angles (deg): 90.00 90.00 90.00
Fractional coordinates of all 8 atoms:
Y1 0.000 0.000 0.000
Y2 0.500 0.500 0.500
Tm1 0.000 0.500 0.750
Tm2 0.500 0.000 0.250
Zr1 0.000 0.500 0.250
Zr2 0.500 0.000 0.750
Sc1 0.000 0.000 0.500
Sc2 0.500 0.500 0.000

Calculated values
Energy in eV/atom: -6.3738
Density in Mg/m³: 6.08
Energy of formation in eV/f.u.: 0.32
Offset from the most stable computed form in eV per formula unit: 0.00
Magnetization in μB per cell: 0.000
Space-group type: I-4m2 (119)
Crystal system: tetragonal